# 1
Entry from the Alexandria database: crystalline YErPd4 at its relaxed geometry (GGA-PBE).

a b c (Å): 5.4390 5.4390 5.4390
angles (deg): 60.00 60.00 60.00
Last column: nearest neighbours and their distance in Å.
Atoms (fractional coordinates):
Y  0.0000  0.0000  0.0000  12 Pd 3.19, 4 Er 3.33
Pd  0.6249  0.6249  0.1254  6 Pd 2.72
Pd  0.6249  0.1254  0.6249  6 Pd 2.72
Pd  0.6249  0.6249  0.6249  6 Pd 2.72
Pd  0.1254  0.6249  0.6249  6 Pd 2.72
Er  0.2500  0.2500  0.2500  12 Pd 3.19, 4 Y 3.33

Computed properties:
**Formation energy**: -808 meV per atom
**Total DFT energy (no corrections)**: -6.108 eV/atom
**Fermi-level density of states**: 3.51 states/eV per cell

---

# 2
Entry from the Alexandria database: crystalline CaGaSn2B at its relaxed geometry (GGA-PBE).

a b c (Å): 5.1956 5.5762 5.1956
angles (deg): 90.00 90.00 90.00
Last column: nearest neighbours and their distance in Å.
Atoms (fractional coordinates):
Ca  0.0000  0.5000  0.0000  2 Ga 2.79
B  0.5000  0.5000  0.5000  4 Ca 3.67, 8 Sn 3.81
Sn  0.0000  0.0000  0.5000  2 Ga 2.60
Sn  0.5000  0.0000  0.0000  2 Ga 2.60
Ga  0.0000  0.0000  0.0000  4 Sn 2.60, 2 Ca 2.79

Computed properties:
**Formation energy**: 1017 meV per atom
**Total DFT energy (no corrections)**: -2.925 eV/atom
**Fermi-level density of states**: 3.86 states/eV per cell

---

# 3
Entry from the Alexandria database: crystalline In3HgI5 at its relaxed geometry (GGA-PBE).

a b c (Å): 8.9009 8.8556 11.4083
angles (deg): 71.37 71.15 75.89
Last column: nearest neighbours and their distance in Å.
Atoms (fractional coordinates):
In  0.3405  0.3401  0.1732  6 I 2.94-3.07
In  0.3150  0.3160  0.6826  1 Hg 3.17, 5 I 3.17-3.49
In  0.0000  0.0000  0.0000  2 Hg 3.06, 2 I 3.28
In  0.0000  0.0000  0.5000  2 Hg 3.01
In  0.6595  0.6599  0.8268  6 I 2.94-3.07
In  0.6850  0.6840  0.3174  1 Hg 3.17, 5 I 3.17-3.49
Hg  0.9167  0.9194  0.2934  3 In 3.01-3.17
Hg  0.0833  0.0806  0.7066  3 In 3.01-3.17
I  0.6124  0.9961  0.6722  1 In 2.94
I  0.3162  0.6874  0.0034  3 In 3.07-3.43
I  0.2317  0.2417  0.9930  3 In 2.96-3.28
I  0.5448  0.5577  0.6510  2 In 2.97-3.17
I  0.4552  0.4423  0.3490  2 In 2.97-3.17
I  0.7683  0.7583  0.0070  3 In 2.96-3.28
I  0.9911  0.6098  0.6665  1 In 2.94
I  0.6838  0.3126  0.9966  3 In 3.07-3.43
I  0.3876  0.0039  0.3278  1 In 2.94
I  0.0089  0.3902  0.3335  1 In 2.94

Computed properties:
**Total DFT energy (no corrections)**: -2.182 eV/atom
**Formation energy without anion corrections**: -374.5 meV/atom
**Fermi-level density of states**: 1.29 states/eV per cell

---

# 4
Entry from the Alexandria database: crystalline DyNi4Bi at its relaxed geometry (GGA-PBE).

a b c (Å): 5.0681 5.0681 5.0681
angles (deg): 60.00 60.00 60.00
Last column: nearest neighbours and their distance in Å.
Atoms (fractional coordinates):
Ni  0.6258  0.6258  0.1227  6 Ni 2.52-2.55
Ni  0.6258  0.1227  0.6258  6 Ni 2.52-2.55
Ni  0.6258  0.6258  0.6258  6 Ni 2.52-2.55
Ni  0.1227  0.6258  0.6258  6 Ni 2.52-2.55
Bi  0.2500  0.2500  0.2500  12 Ni 2.97, 4 Dy 3.10
Dy  0.0000  0.0000  0.0000  12 Ni 2.97, 4 Bi 3.10

Computed properties:
**Formation energy**: -241 meV per atom
**Total DFT energy (no corrections)**: -5.509 eV/atom
**Fermi-level density of states**: 5.27 states/eV per cell

---

Number 1: volume 18.96 Å³/atom. Number 2: volume 30.10 Å³/atom. Number 3: volume 44.25 Å³/atom. Number 4: volume 15.34 Å³/atom.